No. 1
{
  "formula": "LaUN2",
  "functional": "PBE-GGA",
  "state": "optimized geometry",
  "density_g_cm3": 10.6,
  "magnetic_moment_mub_per_cell": 0.82,
  "dft_energy_ev_per_atom": -9.59,
  "spacegroup": "R-3m",
  "cell": [[1.7664, 1.0198, 5.8753], [-1.7664, 1.0198, 5.8753], [0.0000, -2.0397, 5.8753]],
  "species": ["La", "U", "N", "N"],
  "frac_coords": [[0.0000, 0.0000, 0.0000], [0.5000, 0.5000, 0.5000], [0.7677, 0.7677, 0.7677], [0.2323, 0.2323, 0.2323]]
}


No. 2
{
  "formula": "DyAuSO",
  "functional": "PBE-GGA",
  "state": "optimized geometry",
  "density_g_cm3": 8.3,
  "relative_energy_mev_per_atom": 496,
  "magnetic_moment_mub_per_cell": 0.00,
  "dft_energy_ev_per_atom": -5.71,
  "spacegroup": "Pmc2_1",
  "cell": [[4.1149, 0.0000, 0.0000], [0.0000, 6.2294, 0.0000], [0.0000, 0.0000, 6.3933]],
  "species": ["S", "S", "Au", "Au", "Dy", "Dy", "O", "O"],
  "frac_coords": [[0.0000, 0.3473, 0.7208], [0.0000, 0.6527, 0.2208], [0.0000, 0.7131, 0.6132], [0.0000, 0.2869, 0.1132], [0.5000, 0.7998, 0.9856], [0.5000, 0.2002, 0.4856], [0.5000, 0.0770, 0.1715], [0.5000, 0.9230, 0.6715]]
}


No. 3
{
  "formula": "TlCoReOs",
  "functional": "PBE-GGA",
  "state": "optimized geometry",
  "density_g_cm3": 17.0,
  "relative_energy_mev_per_atom": 0,
  "magnetic_moment_mub_per_cell": 2.66,
  "dft_energy_ev_per_atom": -7.46,
  "spacegroup": "F-43m",
  "cell": [[2.5482, -2.5224, 2.6373], [-1.6762, -1.6862, 3.7628], [-0.7778, -4.3702, 0.3276]],
  "species": ["Co", "Os", "Re", "Tl"],
  "frac_coords": [[0.7500, 0.7500, 0.7500], [0.2500, 0.2500, 0.2500], [0.5000, 0.5000, 0.5000], [0.0000, 0.0000, 0.0000]]
}